DFT (PBE-GGA) results for crystalline MgBPd2 at its relaxed geometry.

a b c (Å): 6.6734 6.6734 5.2944
angles (deg): 90.00 90.00 90.00
Fractional positions:
Mg  0.0000  0.0000  0.0000
Mg  0.0000  0.5000  0.2500
Mg  0.5000  0.0000  0.7500
Mg  0.5000  0.5000  0.5000
B  0.0000  0.0000  0.5000
B  0.0000  0.5000  0.7500
B  0.5000  0.0000  0.2500
B  0.5000  0.5000  0.0000
Pd  0.1512  0.2500  0.6250
Pd  0.2500  0.6512  0.8750
Pd  0.2500  0.8488  0.3750
Pd  0.3488  0.2500  0.1250
Pd  0.6512  0.7500  0.1250
Pd  0.7500  0.1512  0.3750
Pd  0.7500  0.3488  0.8750
Pd  0.8488  0.7500  0.6250

## Properties
Volume ... 14.7 A^3/atom
Space group ... No. 122
VASP energy ... -79.42 eV per cell
Energy relative to the elements ... -0.299 eV per atom

---

DFT (PBE-GGA) results for crystalline LiP4Cl at its relaxed geometry.

a b c (Å): 5.8720 5.8720 5.8720
angles (deg): 60.00 60.00 60.00
Fractional positions:
Li  0.0000  0.0000  0.0000
P  0.2189  0.5937  0.5937
P  0.5937  0.2189  0.5937
P  0.5937  0.5937  0.2189
P  0.5937  0.5937  0.5937
Cl  0.2500  0.2500  0.2500

## Properties
Volume ... 23.9 A^3/atom
Space group ... No. 216
VASP energy ... -26.43 eV per cell
Raw formation energy ... -0.1712 eV/atom

---

DFT (PBE-GGA) results for crystalline LiTlAu2 at its relaxed geometry.

a b c (Å): 3.3640 3.3640 6.8782
angles (deg): 90.00 90.00 90.00
Fractional positions:
Li  0.0000  0.0000  0.0000
Tl  0.0000  0.0000  0.5000
Au  0.5000  0.5000  0.2050
Au  0.5000  0.5000  0.7950

## Properties
Volume ... 19.5 A^3/atom
Space group ... No. 123
VASP energy ... -11.85 eV per cell
Energy relative to the elements ... -0.254 eV per atom

---

DFT (PBE-GGA) results for crystalline Y2IrOs2 at its relaxed geometry.

a b c (Å): 3.5354 3.5354 16.8889
angles (deg): 90.00 90.00 90.00
Fractional positions:
Y  0.0000  0.0000  0.0984
Y  0.0000  0.0000  0.9016
Y  0.5000  0.5000  0.4016
Y  0.5000  0.5000  0.5984
Ir  0.0000  0.0000  0.5000
Ir  0.5000  0.5000  0.0000
Os  0.0000  0.5000  0.2500
Os  0.0000  0.5000  0.7500
Os  0.5000  0.0000  0.2500
Os  0.5000  0.0000  0.7500

## Properties
Volume ... 21.1 A^3/atom
Space group ... No. 139
VASP energy ... -88.98 eV per cell
Energy relative to the elements ... -0.049 eV per atom
Relative energy among the computed polymorphs ... 0.166 eV per atom

---

DFT (PBE-GGA) results for crystalline TlP at its relaxed geometry.

a b c (Å): 4.8601 4.8601 7.7982
angles (deg): 90.00 90.00 90.00
Fractional positions:
Tl  0.0000  0.2500  0.3750
Tl  0.0000  0.7500  0.6250
Tl  0.5000  0.2500  0.1250
Tl  0.5000  0.7500  0.8750
P  0.0000  0.2500  0.8750
P  0.0000  0.7500  0.1250
P  0.5000  0.2500  0.6250
P  0.5000  0.7500  0.3750

## Properties
Volume ... 23.0 A^3/atom
Space group ... No. 141
VASP energy ... -26.04 eV per cell
Energy relative to the elements ... 0.633 eV per atom

---

DFT (PBE-GGA) results for crystalline PaH2Br4 at its relaxed geometry.

a b c (Å): 14.8273 4.3412 6.9839
angles (deg): 90.00 110.63 90.00
Fractional positions:
Pa  0.0000  0.0000  0.0000
Pa  0.5000  0.5000  0.0000
H  0.1135  0.0000  0.8945
H  0.3865  0.5000  0.1055
H  0.6135  0.5000  0.8945
H  0.8865  0.0000  0.1055
Br  0.1094  0.5000  0.8974
Br  0.1252  0.0000  0.3853
Br  0.3748  0.5000  0.6147
Br  0.3906  0.0000  0.1026
Br  0.6094  0.0000  0.8974
Br  0.6252  0.5000  0.3853
Br  0.8748  0.0000  0.6147
Br  0.8906  0.5000  0.1026

## Properties
Volume ... 30.1 A^3/atom
Space group ... No. 12
VASP energy ... -55.10 eV per cell

---

> VASP energy of number 6 (PaH2Br4)?

-55.10 eV per cell

---

> Among the records above, which one has the highest VASP energy?

LiTlAu2

---

> Which formula does entry 3 have?

LiTlAu2